(1)
The following is a PBE-GGA calculation of a relaxed Tb3HoOs crystal, from Alexandria.

DFT total energy, eV per formula unit: -30.45
Crystal system: monoclinic

Cell lengths 7.2835, 7.2835, 7.2964 Å; angles 107.89, 112.81, 107.68 degrees
Closest atoms and distances in Å follow each position.
Element x y z (fractional)
Tb (0.8524, 0.0538, 0.2955)  1 Os 2.69
Tb (0.2416, 0.4431, 0.2955)  1 Os 2.69
Tb (0.7584, 0.5569, 0.7045)  1 Os 2.69
Tb (0.7037, 0.4453, 0.1490)  1 Os 2.70
Tb (0.1476, 0.9462, 0.7045)  1 Os 2.69
Tb (0.2963, 0.5547, 0.8510)  1 Os 2.70
Ho (0.6998, 0.0553, 0.7551)  1 Os 2.69
Ho (0.3002, 0.9447, 0.2449)  1 Os 2.69
Os (0.6226, 0.7505, 0.3731)  1 Ho 2.69, 3 Tb 2.69-2.70
Os (0.3774, 0.2495, 0.6269)  1 Ho 2.69, 3 Tb 2.69-2.70

(2)
The following is a PBE-GGA calculation of a relaxed Tb2HoOs crystal, from Alexandria.

DFT total energy, eV per formula unit: -25.36
Crystal system: tetragonal

Cell lengths 3.3999, 3.3999, 9.3138 Å; angles 90.00, 90.00, 90.00 degrees
Closest atoms and distances in Å follow each position.
Element x y z (fractional)
Tb (0.0000, 0.0000, 0.8197)  4 Os 2.93
Tb (0.0000, 0.0000, 0.1803)  4 Os 2.93
Os (0.5000, 0.5000, 0.0000)  8 Tb 2.93
Ho (0.5000, 0.5000, 0.5000)  4 Ho 3.40

(3)
The following is a PBE-GGA calculation of a relaxed Tb2HoOs crystal, from Alexandria.

DFT total energy, eV per formula unit: -25.99
Crystal system: orthorhombic

Cell lengths 4.0029, 6.2475, 9.0147 Å; angles 90.00, 90.00, 108.68 degrees
Closest atoms and distances in Å follow each position.
Element x y z (fractional)
Tb (0.1439, 0.2877, 0.4340)  3 Os 2.93-3.07
Tb (0.8561, 0.7123, 0.5660)  3 Os 2.93-3.07
Tb (0.8561, 0.7123, 0.9340)  3 Os 2.93-3.07
Tb (0.1439, 0.2877, 0.0660)  3 Os 2.93-3.07
Ho (0.4240, 0.8480, 0.2500)  2 Os 2.80
Ho (0.5760, 0.1520, 0.7500)  2 Os 2.80
Os (0.7589, 0.5179, 0.2500)  2 Ho 2.80, 6 Tb 2.93-3.07
Os (0.2411, 0.4821, 0.7500)  2 Ho 2.80, 6 Tb 2.93-3.07

(4)
The following is a PBE-GGA calculation of a relaxed Tb2HoOs crystal, from Alexandria.

DFT total energy, eV per formula unit: -23.89
Crystal system: trigonal

Cell lengths 3.4548, 3.4548, 11.0235 Å; angles 80.98, 80.98, 60.00 degrees
Closest atoms and distances in Å follow each position.
Element x y z (fractional)
Tb (0.1052, 0.1052, 0.6843)  3 Os 2.82
Tb (0.8948, 0.8948, 0.3157)  3 Os 2.82
Os (0.5000, 0.5000, 0.5000)  6 Tb 2.82
Ho (0.0000, 0.0000, 0.0000)  2 Tb 3.42, 6 Ho 3.45

(5)
The following is a PBE-GGA calculation of a relaxed Tb3HoOs crystal, from Alexandria.

DFT total energy, eV per formula unit: -29.96
Crystal system: orthorhombic

Cell lengths 6.2463, 6.4436, 7.7083 Å; angles 90.00, 90.00, 90.00 degrees
Closest atoms and distances in Å follow each position.
Element x y z (fractional)
Tb (0.4228, 0.3347, 0.2008)  1 Os 2.72
Tb (0.4255, 0.8581, 0.9506)  2 Os 2.74
Tb (0.9254, 0.4947, 0.4506)  2 Os 2.74
Tb (0.9229, 0.0182, 0.7007)  1 Os 2.72
Tb (0.9255, 0.4947, 0.9510)  2 Os 2.74
Tb (0.4254, 0.8581, 0.4510)  2 Os 2.74
Ho (0.4286, 0.3361, 0.7009)  1 Os 2.70
Ho (0.9286, 0.0167, 0.2007)  1 Os 2.70
Os (0.1758, 0.6753, 0.7008)  1 Ho 2.70, 5 Tb 2.72-2.74
Os (0.6758, 0.6773, 0.2008)  1 Ho 2.70, 5 Tb 2.72-2.74

(6)
The following is a PBE-GGA calculation of a relaxed TbHo4Os2 crystal, from Alexandria.

DFT total energy, eV per formula unit: -46.72
Crystal system: monoclinic

Cell lengths 6.2713, 7.9099, 7.7717 Å; angles 112.26, 90.00, 90.00 degrees
Closest atoms and distances in Å follow each position.
Element x y z (fractional)
Tb (0.2500, 0.8400, 0.9738)  1 Os 2.85
Tb (0.7500, 0.1600, 0.0262)  1 Os 2.85
Ho (0.5012, 0.4190, 0.7598)  4 Os 2.93-3.05, 2 Ho 3.12-3.15
Ho (0.2500, 0.2508, 0.3261)  2 Os 2.75-2.88
Ho (0.7500, 0.7492, 0.6739)  2 Os 2.75-2.88
Ho (0.9988, 0.4190, 0.7598)  4 Os 2.93-3.05, 2 Ho 3.12-3.15
Ho (0.7500, 0.0199, 0.3801)  2 Os 2.73-2.79
Ho (0.0012, 0.5810, 0.2402)  4 Os 2.93-3.05, 2 Ho 3.12-3.15
Ho (0.4988, 0.5810, 0.2402)  4 Os 2.93-3.05, 2 Ho 3.12-3.15
Ho (0.2500, 0.9801, 0.6199)  2 Os 2.73-2.79
Os (0.2500, 0.2561, 0.9746)  6 Ho 2.75-3.05
Os (0.7500, 0.7439, 0.0254)  6 Ho 2.75-3.05
Os (0.7500, 0.3758, 0.4142)  6 Ho 2.73-3.01, 1 Tb 2.85
Os (0.2500, 0.6242, 0.5858)  6 Ho 2.73-3.01, 1 Tb 2.85

(7)
The following is a PBE-GGA calculation of a relaxed Tb2HoOs crystal, from Alexandria.

DFT total energy, eV per formula unit: -26.06
Crystal system: orthorhombic

Cell lengths 6.3405, 7.3941, 9.1111 Å; angles 90.00, 90.00, 90.00 degrees
Closest atoms and distances in Å follow each position.
Element x y z (fractional)
Tb (0.1690, 0.6750, 0.0630)  3 Os 2.87-3.17
Tb (0.3310, 0.1750, 0.4370)  3 Os 2.87-3.17
Tb (0.8310, 0.3250, 0.5630)  3 Os 2.87-3.17
Tb (0.6690, 0.8250, 0.9370)  3 Os 2.87-3.17
Tb (0.8310, 0.3250, 0.9370)  3 Os 2.87-3.17
Tb (0.6690, 0.8250, 0.5630)  3 Os 2.87-3.17
Tb (0.1690, 0.6750, 0.4370)  3 Os 2.87-3.17
Tb (0.3310, 0.1750, 0.0630)  3 Os 2.87-3.17
Ho (0.6313, 0.5402, 0.2500)  2 Os 2.76-2.82
Ho (0.8687, 0.0402, 0.2500)  2 Os 2.76-2.82
Ho (0.3687, 0.4598, 0.7500)  2 Os 2.76-2.82
Ho (0.1313, 0.9598, 0.7500)  2 Os 2.76-2.82
Os (0.0374, 0.3836, 0.2500)  2 Ho 2.76-2.82, 4 Tb 2.87-2.96
Os (0.4626, 0.8836, 0.2500)  2 Ho 2.76-2.82, 4 Tb 2.87-2.96
Os (0.9626, 0.6164, 0.7500)  2 Ho 2.76-2.82, 4 Tb 2.87-2.96
Os (0.5374, 0.1164, 0.7500)  2 Ho 2.76-2.82, 4 Tb 2.87-2.96

(8)
The following is a PBE-GGA calculation of a relaxed Tb3HoOs crystal, from Alexandria.

DFT total energy, eV per formula unit: -29.41
Crystal system: cubic

Cell lengths 5.4408, 5.4408, 5.4408 Å; angles 90.00, 90.00, 90.00 degrees
Closest atoms and distances in Å follow each position.
Element x y z (fractional)
Tb (0.0000, 0.5000, 0.0000)  2 Os 2.72
Tb (0.0000, 0.0000, 0.5000)  2 Os 2.72
Tb (0.5000, 0.0000, 0.0000)  2 Os 2.72
Os (0.0000, 0.0000, 0.0000)  6 Tb 2.72
Ho (0.5000, 0.5000, 0.5000)  12 Tb 3.85